[1]
The following is a PBE calculation of RbY2SbI after structural relaxation, from Alexandria.

a b c (Å): 5.704 8.763 5.704
angles (deg): 90.00 90.00 90.00
Last column: magnetic moment on the atom in μB.
Fractional coordinates of all 5 atoms:
I 0.000 0.500 0.000  0.01
Sb 0.000 0.000 0.000  -0.01
Y 0.000 0.000 0.500  0.17
Y 0.500 0.000 0.000  0.11
Rb 0.500 0.500 0.500  0.00

* calculated volume: 57.0 A^3/atom
* uncorrected formation energy: -140.9 meV per atom
* energy: -4.0546 eV/atom
* N(E_F): 3.44 states/eV/f.u.
* symmetry: P4/mmm

[2]
The following is a PBE calculation of NaMg2Zn2Au2 after structural relaxation, from Alexandria.

a b c (Å): 4.574 4.574 8.398
angles (deg): 74.20 74.20 60.00
Fractional coordinates of all 7 atoms:
Na 0.000 0.000 0.000
Mg 0.130 0.130 0.609
Mg 0.870 0.870 0.391
Zn 0.587 0.587 0.239
Zn 0.413 0.413 0.761
Au 0.755 0.755 0.736
Au 0.245 0.245 0.264

* calculated volume: 20.6 A^3/atom
* energy: -2.2677 eV/atom
* N(E_F): 2.40 states/eV/f.u.
* symmetry: R-3m
* energy of formation from the pure elements: -0.3233 eV/atom

[3]
The following is a PBE calculation of RbHfIn2Br after structural relaxation, from Alexandria.

a b c (Å): 6.533 6.402 6.533
angles (deg): 90.00 90.00 90.00
Last column: magnetic moment on the atom in μB.
Fractional coordinates of all 5 atoms:
Hf 0.500 0.500 0.500  1.40
Br 0.000 0.000 0.000  0.02
Rb 0.000 0.500 0.000  0.02
In 0.000 0.000 0.500  0.10
In 0.500 0.000 0.000  0.08

* calculated volume: 54.7 A^3/atom
* uncorrected formation energy: 864.5 meV per atom
* energy: -2.7497 eV/atom
* N(E_F): 5.72 states/eV/f.u.
* symmetry: P4/mmm

[4]
The following is a PBE calculation of Pm2YH after structural relaxation, from Alexandria.

a b c (Å): 3.684 3.684 8.968
angles (deg): 78.15 78.15 60.00
Fractional coordinates of all 4 atoms:
Y 0.500 0.500 0.500
H 0.000 0.000 0.000
Pm 0.279 0.279 0.164
Pm 0.721 0.721 0.836

* distance to the lowest polymorph of the same formula: 0.000 eV/atom
* calculated volume: 25.6 A^3/atom
* energy: -4.9888 eV/atom
* N(E_F): 3.05 states/eV/f.u.
* symmetry: R-3m

[5]
The following is a PBE calculation of Tc2HgF after structural relaxation, from Alexandria.

a b c (Å): 4.441 4.441 4.441
angles (deg): 60.00 60.00 60.00
Last column: magnetic moment on the atom in μB.
Fractional coordinates of all 4 atoms:
F 0.000 0.000 0.000  0.04
Hg 0.500 0.500 0.500  -0.01
Tc 0.250 0.250 0.250  0.75
Tc 0.750 0.750 0.750  0.75

* distance to the lowest polymorph of the same formula: 0.450 eV/atom
* calculated volume: 15.5 A^3/atom
* uncorrected formation energy: 803.6 meV per atom
* energy: -4.9227 eV/atom
* N(E_F): 4.93 states/eV/f.u.
* symmetry: Fm-3m

[6]
The following is a PBE calculation of Li2ZnPt after structural relaxation, from Alexandria.

a b c (Å): 2.704 2.704 8.788
angles (deg): 90.00 90.00 113.12
Fractional coordinates of all 4 atoms:
Li 0.000 0.000 0.014
Li 0.000 0.000 0.486
Pt 0.500 0.500 0.250
Zn 0.500 0.500 0.750

* calculated volume: 14.8 A^3/atom
* energy: -3.1141 eV/atom
* N(E_F): 2.21 states/eV/f.u.
* symmetry: Cmmm
* energy of formation from the pure elements: -0.3285 eV/atom

[7]
The following is a PBE calculation of Ga3RhF after structural relaxation, from Alexandria.

a b c (Å): 4.755 4.755 4.755
angles (deg): 90.00 90.00 90.00
Fractional coordinates of all 5 atoms:
Rh 0.000 0.000 0.000
Ga 0.000 0.500 0.000
Ga 0.000 0.000 0.500
Ga 0.500 0.000 0.000
F 0.500 0.500 0.500

* distance to the lowest polymorph of the same formula: 0.000 eV/atom
* calculated volume: 21.5 A^3/atom
* uncorrected formation energy: -721.8 meV per atom
* energy: -4.3825 eV/atom
* N(E_F): 1.70 states/eV/f.u.
* symmetry: Pm-3m

[8]
The following is a PBE calculation of BaNa2O2 after structural relaxation, from Alexandria.

a b c (Å): 6.965 6.965 7.671
angles (deg): 90.00 90.00 148.38
Fractional coordinates of all 10 atoms:
Ba 0.805 0.195 0.065
Ba 0.195 0.805 0.565
Na 0.951 0.049 0.615
Na 0.577 0.423 0.857
Na 0.049 0.951 0.115
Na 0.423 0.577 0.357
O 0.816 0.184 0.418
O 0.551 0.449 0.560
O 0.449 0.551 0.060
O 0.184 0.816 0.918

* distance to the lowest polymorph of the same formula: 0.000 eV/atom
* calculated volume: 19.5 A^3/atom
* uncorrected formation energy: -1653.0 meV per atom
* energy: -4.5484 eV/atom
* N(E_F): 0.00 states/eV/f.u.
* symmetry: Cmc2_1